As2PtRh, optimized geometry, DFT PBE; DFT total energy = -22.80 eV per cell; formation energy from the elements = -0.11 eV per formula unit; excess energy over the best structure of this formula in the dataset = 238.6 meV per atom
1.0
-1.9157 1.9157 4.3402
1.9157 -1.9157 4.3402
1.9157 1.9157 -4.3402
As Pt Rh
2 1 1
Direct
0.0000 0.0000 0.0000
0.7500 0.2500 0.5000
0.2500 0.7500 0.5000
0.5000 0.5000 0.0000

---

Ca2Sm3Cd3, optimized geometry, DFT PBE; DFT total energy = -22.41 eV per cell; formation energy from the elements = -1.51 eV per formula unit
1.0
-1.9076 2.7649 11.5945
1.9076 -2.7649 11.5945
1.9076 2.7649 -11.5945
Ca Sm Cd
2 3 3
Direct
0.2266 0.2266 0.0000
0.7734 0.7734 0.0000
0.0000 0.0000 0.0000
0.3836 0.8836 0.5000
0.6164 0.1164 0.5000
0.1130 0.6130 0.5000
0.5000 0.5000 0.0000
0.8870 0.3870 0.5000

---

HoCuAgSn, optimized geometry, DFT PBE; DFT total energy = -16.82 eV per cell; formation energy from the elements = -1.30 eV per formula unit
1.0
0.0000 3.4236 3.4236
3.4236 0.0000 3.4236
3.4236 3.4236 0.0000
Ho Cu Ag Sn
1 1 1 1
Direct
0.0000 0.0000 0.0000
0.7500 0.7500 0.7500
0.2500 0.2500 0.2500
0.5000 0.5000 0.5000

---

Ba2CaAl, optimized geometry, DFT PBE; DFT total energy = -9.72 eV per cell; formation energy from the elements = -0.13 eV per formula unit
1.0
-2.0540 3.1510 6.6994
2.0540 -3.1510 6.6994
2.0540 3.1510 -6.6994
Ba Ca Al
2 1 1
Direct
0.0000 0.0000 0.0000
0.6925 0.1925 0.5000
0.3031 0.8031 0.5000
0.4816 0.4816 0.0000

---

Ho8TlAu2, optimized geometry, DFT PBE; DFT total energy = -48.71 eV per cell; formation energy from the elements = -3.17 eV per formula unit
1.0
4.3735 -6.9593 0.0000
4.3735 6.9593 0.0000
-1.6538 0.0000 5.1920
Ho Tl Au
8 1 2
Direct
0.0892 0.3315 0.5935
0.2331 0.7669 0.0000
0.3315 0.0892 0.5935
0.3955 0.3955 0.1965
0.6045 0.6045 0.8036
0.6685 0.9108 0.4065
0.7669 0.2331 0.0000
0.9108 0.6685 0.4065
0.0000 0.0000 0.0000
0.3032 0.6968 0.5000
0.6968 0.3032 0.5000

---

Sr4SmTi3O12, optimized geometry, DFT PBE; DFT total energy = -153.49 eV per cell
1.0
-4.0921 4.0921 4.0921
4.0921 -4.0921 4.0921
4.0921 4.0921 -4.0921
Sr Sm Ti O
4 1 3 12
Direct
0.0000 0.0000 0.5000
0.0000 0.5000 0.0000
0.5000 0.0000 0.0000
0.5000 0.5000 0.5000
0.0000 0.0000 0.0000
0.0000 0.5000 0.5000
0.5000 0.0000 0.5000
0.5000 0.5000 0.0000
0.0000 0.2706 0.2706
0.0000 0.7294 0.7294
0.2500 0.5000 0.7500
0.2500 0.7500 0.5000
0.2706 0.0000 0.2706
0.2706 0.2706 0.0000
0.5000 0.2500 0.7500
0.5000 0.7500 0.2500
0.7294 0.0000 0.7294
0.7294 0.7294 0.0000
0.7500 0.2500 0.5000
0.7500 0.5000 0.2500

---

Pm4Nd3Th, optimized geometry, DFT PBE; DFT total energy = -37.69 eV per cell; formation energy from the elements = 3.03 eV per formula unit; excess energy over the best structure of this formula in the dataset = 222.1 meV per atom
1.0
5.9965 -6.7954 0.0000
5.9965 6.7954 0.0000
0.0000 0.0000 3.4539
Pm Nd Th
4 3 1
Direct
0.2399 0.2399 0.5000
0.2478 0.7522 0.0000
0.7522 0.2478 0.0000
0.7601 0.7601 0.5000
0.0000 0.5000 0.5000
0.5000 0.0000 0.5000
0.5000 0.5000 0.0000
0.0000 0.0000 0.0000

---

Tl2Cd2Bi, optimized geometry, DFT PBE; DFT total energy = -20.63 eV per cell; formation energy from the elements = 0.13 eV per formula unit; excess energy over the best structure of this formula in the dataset = 0.0 meV per atom
1.0
7.8534 0.0000 0.0000
0.0000 7.8534 0.0000
0.0000 0.0000 4.8703
Tl Cd Bi
4 4 2
Direct
0.1750 0.3250 0.0000
0.3250 0.8250 0.0000
0.6750 0.1750 0.0000
0.8250 0.6750 0.0000
0.1292 0.6292 0.5000
0.3708 0.1292 0.5000
0.6292 0.8708 0.5000
0.8708 0.3708 0.5000
0.0000 0.0000 0.5000
0.5000 0.5000 0.5000

---

LiCl3, optimized geometry, DFT PBE; DFT total energy = -18.38 eV per cell; excess energy over the best structure of this formula in the dataset = 432.1 meV per atom
1.0
5.5939 0.0000 0.0000
-2.7969 4.8444 0.0000
0.0000 0.0000 7.4558
Li Cl
2 6
Direct
0.3333 0.6667 0.2500
0.6667 0.3333 0.7500
0.1667 0.3334 0.7500
0.1667 0.8333 0.7500
0.3334 0.1667 0.2500
0.6666 0.8333 0.7500
0.8333 0.1667 0.2500
0.8333 0.6666 0.2500

---

Cu2MoOsRu, optimized geometry, DFT PBE; DFT total energy = -29.87 eV per cell; formation energy from the elements = 9.66 eV per formula unit
1.0
4.5006 0.0000 0.0000
0.0000 4.5006 0.0000
0.0000 0.0000 4.5520
Cu Mo Os Ru
2 1 1 1
Direct
0.0000 0.5000 0.0000
0.5000 0.0000 0.0000
0.0000 0.0000 0.5000
0.5000 0.5000 0.5000
0.0000 0.0000 0.0000

---

RbPdPb, optimized geometry, DFT PBE; DFT total energy = -10.27 eV per cell; formation energy from the elements = -0.40 eV per formula unit; excess energy over the best structure of this formula in the dataset = 102.3 meV per atom
1.0
-1.8438 1.8438 6.6292
1.8438 -1.8438 6.6292
1.8438 1.8438 -6.6292
Rb Pd Pb
1 1 1
Direct
0.0000 0.0000 0.0000
0.6962 0.6962 0.0000
0.2823 0.2823 0.0000

---

LiGdZrIn, optimized geometry, DFT PBE; DFT total energy = -27.71 eV per cell; formation energy from the elements = -0.43 eV per formula unit
1.0
0.0000 3.6161 3.6161
3.6161 0.0000 3.6161
3.6161 3.6161 0.0000
Li Gd Zr In
1 1 1 1
Direct
0.0000 0.0000 0.0000
0.2500 0.2500 0.2500
0.7500 0.7500 0.7500
0.5000 0.5000 0.5000